ZnB3O: relaxed, PBE.

```
5
Lattice="3.624 0.000 0.000 0.000 3.624 0.000 0.000 0.000 3.624" Properties=species:S:1:pos:R:3 pbc="T T T"
Zn 0.000 0.000 0.000
B 0.000 1.812 1.812
B 1.812 0.000 1.812
B 1.812 1.812 0.000
O 1.812 1.812 1.812
```

Output
* raw formation energy: 162.0 kJ per mole of atoms
* excess energy over the best structure of this formula in the dataset: 0.000 eV per atom
* density: 3.971 g cm⁻³
* size of the total moment: 0.00 μB per cell

---

RbTiCrH2: relaxed, PBE.

```
5
Lattice="4.362 0.000 0.000 0.000 4.362 0.000 0.000 0.000 4.473" Properties=species:S:1:pos:R:3 pbc="T T T"
Rb 0.000 0.000 0.000
Ti 2.181 2.181 0.000
Cr 2.181 2.181 2.236
H 0.000 2.181 2.236
H 2.181 0.000 2.236
```

Output
* E_tot: -0.14727 hartree per atom
* density: 3.655 g cm⁻³
* size of the total moment: 0.79 μB per cell

---

Li10ZnP4S16: relaxed, PBE.

```
62
Lattice="12.414 0.000 0.000 0.000 7.918 0.000 -12.404 0.000 12.961" Properties=species:S:1:pos:R:3 pbc="T T T"
Li 0.000 1.777 0.000
Li -6.202 6.141 6.480
Li -6.144 1.991 6.448
Li -12.346 5.927 12.928
Li -0.080 3.926 3.458
Li -6.282 3.992 9.938
Li 3.043 1.998 2.380
Li -3.159 5.921 8.860
Li -3.133 2.034 8.862
Li 3.069 5.884 2.382
Li -0.060 1.930 6.498
Li 6.142 5.988 0.017
Li 2.990 0.081 5.455
Li -3.212 7.838 11.935
Li -0.042 3.864 10.004
Li 6.160 4.054 3.523
Li 3.111 1.958 8.978
Li 9.279 1.992 2.535
Li 3.077 5.926 9.015
Li 9.313 5.960 2.497
Zn -6.250 1.925 12.951
Zn -0.048 5.993 6.471
P -9.374 3.885 12.156
P -3.173 4.033 5.675
P -6.179 0.066 9.787
P 0.023 7.852 3.307
P -3.150 3.951 12.122
P 3.052 3.967 5.642
P 6.211 0.009 3.249
P 0.009 7.909 9.729
S -6.860 1.747 8.817
S -0.658 6.171 2.336
S -0.695 1.638 2.392
S -6.897 6.281 8.872
S 2.421 2.164 0.053
S -3.781 5.755 6.533
S -3.734 2.292 6.533
S 2.468 5.626 0.052
S -6.927 0.043 11.724
S -0.726 7.875 5.244
S -7.233 3.916 12.193
S -1.031 4.002 5.713
S -4.126 0.035 9.714
S 2.076 7.884 3.234
S 2.407 3.953 3.697
S -3.795 3.965 10.178
S 5.495 1.753 2.280
S -0.707 6.165 8.760
S -0.725 1.684 8.817
S 5.476 6.234 2.337
S 8.545 2.209 0.115
S 2.343 5.709 6.595
S 2.371 2.300 6.622
S 8.573 5.619 0.142
S 5.430 0.122 5.157
S -0.772 7.796 11.638
S -1.097 3.860 12.257
S 5.105 4.059 5.776
S 8.219 0.013 3.274
S 2.017 7.905 9.754
S 2.445 3.916 10.175
S 8.647 4.002 3.695
```

Output
* raw formation energy: -83.3 kJ per mole of atoms
* excess energy over the best structure of this formula in the dataset: 0.002 eV per atom
* density: 2.012 g cm⁻³
* size of the total moment: 0.00 μB per cell

---

Pm5IrPt4: relaxed, PBE.

```
10
Lattice="3.564 0.000 0.000 0.000 3.564 0.000 0.000 0.000 17.962" Properties=species:S:1:pos:R:3 pbc="T T T"
Pm 0.000 0.000 0.000
Pm 0.000 0.000 3.622
Pm 0.000 0.000 7.268
Pm 0.000 0.000 10.694
Pm 0.000 0.000 14.340
Ir 1.782 1.782 8.981
Pt 1.782 1.782 1.801
Pt 1.782 1.782 5.397
Pt 1.782 1.782 12.565
Pt 1.782 1.782 16.161
```

Output
* density: 12.357 g cm⁻³
* DFT formation energy: -958 kJ/mol of formula units
* size of the total moment: 0.00 μB per cell

---

MgWBr3: relaxed, PBE.

```
5
Lattice="5.337 0.000 0.000 0.000 5.337 0.000 0.000 0.000 5.337" Properties=species:S:1:pos:R:3 pbc="T T T"
Mg 0.000 0.000 0.000
W 2.668 2.668 2.668
Br 0.000 2.668 2.668
Br 2.668 0.000 2.668
Br 2.668 2.668 0.000
```

Output
* raw formation energy: 28.2 kJ per mole of atoms
* excess energy over the best structure of this formula in the dataset: 0.000 eV per atom
* density: 4.893 g cm⁻³
* size of the total moment: 3.00 μB per cell

---

Ac3Zn2Ir2: relaxed, PBE.

```
7
Lattice="-2.136 2.205 9.694 2.136 -2.205 9.694 2.136 2.205 -9.694" Properties=species:S:1:pos:R:3 pbc="T T T"
Ac 0.000 0.000 0.000
Ac 2.136 0.000 3.591
Ac 0.000 2.205 6.103
Zn 0.000 0.000 8.411
Zn 0.000 0.000 10.977
Ir 2.136 0.000 6.891
Ir 0.000 2.205 2.803
```

Output
* density: 10.879 g cm⁻³
* DFT formation energy: -351 kJ/mol of formula units
* size of the total moment: 0.00 μB per cell

---

AcLa2Br8: relaxed, PBE.

```
11
Lattice="4.605 -6.693 0.000 4.605 6.693 0.000 -1.622 0.000 5.622" Properties=species:S:1:pos:R:3 pbc="T T T"
Ac 0.000 0.000 0.000
La 3.794 2.393 2.811
La 3.794 -2.393 2.811
Br 0.819 1.706 3.247
Br 4.605 3.555 0.000
Br 0.819 -1.706 3.247
Br 3.043 0.000 0.927
Br 4.546 0.000 4.695
Br 6.770 1.706 2.375
Br 4.605 -3.555 0.000
Br 6.770 -1.706 2.375
```

Output
* raw formation energy: -175.5 kJ per mole of atoms
* density: 5.481 g cm⁻³
* size of the total moment: 1.17 μB per cell

---

Li2NiBi: relaxed, PBE.

```
8
Lattice="-3.848 3.848 2.528 3.848 -3.848 2.528 3.848 3.848 -2.528" Properties=species:S:1:pos:R:3 pbc="T T T"
Li 1.924 1.501 -0.632
Li 2.347 -1.924 3.160
Li 1.924 2.347 1.896
Li 1.501 5.772 0.632
Ni 0.000 0.000 0.000
Ni 0.000 3.848 1.264
Bi 3.848 0.000 1.264
Bi 0.000 0.000 2.528
```

Output
* density: 6.245 g cm⁻³
* DFT formation energy: 13 kJ/mol of formula units
* size of the total moment: 0.00 μB per cell

---

CeTmHgOs: relaxed, PBE.

```
4
Lattice="3.353 0.000 0.000 0.000 3.353 0.000 0.000 0.000 8.132" Properties=species:S:1:pos:R:3 pbc="T T T"
Ce 0.000 0.000 0.000
Tm 0.000 0.000 4.663
Hg 1.677 1.677 2.468
Os 1.677 1.677 6.362
```

Output
* excess energy over the best structure of this formula in the dataset: 0.000 eV per atom
* density: 12.712 g cm⁻³
* DFT formation energy: -141 kJ/mol of formula units
* size of the total moment: 0.00 μB per cell

---

Rb2InPdF6: relaxed, PBE.

```
10
Lattice="-3.084 3.084 4.923 3.084 -3.084 4.923 3.084 3.084 -4.923" Properties=species:S:1:pos:R:3 pbc="T T T"
Rb 3.084 0.000 2.462
Rb 0.000 3.084 2.462
In 0.000 0.000 0.000
Pd 0.000 0.000 4.923
F 0.000 0.000 2.081
F 1.501 1.501 0.000
F 1.583 -1.583 4.923
F -1.583 1.583 4.923
F 1.583 1.583 4.923
F 0.000 0.000 7.765
```

Output
* raw formation energy: -215.5 kJ per mole of atoms
* density: 4.488 g cm⁻³
* size of the total moment: 1.00 μB per cell

---

Sr2SbPt: relaxed, PBE.

```
8
Lattice="-4.275 4.275 3.403 4.275 -4.275 3.403 4.275 4.275 -3.403" Properties=species:S:1:pos:R:3 pbc="T T T"
Sr 6.413 1.805 -0.851
Sr 1.805 2.138 0.851
Sr -2.138 2.470 2.552
Sr 2.470 2.138 4.254
Sb 4.275 0.000 1.702
Sb 0.000 0.000 3.403
Pt 0.000 0.000 0.000
Pt 0.000 4.275 1.702
```

Output
* raw formation energy: -54.4 kJ per mole of atoms
* density: 6.568 g cm⁻³
* size of the total moment: 0.00 μB per cell

---

TmTaOs2: relaxed, PBE.

```
4
Lattice="0.000 3.258 3.258 3.258 0.000 3.258 3.258 3.258 0.000" Properties=species:S:1:pos:R:3 pbc="T T T"
Tm 0.000 0.000 0.000
Ta 3.258 3.258 3.258
Os 1.629 1.629 1.629
Os 4.887 4.887 4.887
```

Output
* excess energy over the best structure of this formula in the dataset: 0.047 eV per atom
* density: 17.532 g cm⁻³
* DFT formation energy: -124 kJ/mol of formula units
* size of the total moment: 0.00 μB per cell

---

no.,D(E_F) (states/eV/f.u.)
1,2.248
2,3.671
3,0.000
4,6.192
5,2.286
6,3.885
7,7.604
8,2.698
9,4.307
10,0.000
11,1.705
12,0.920